Record 1
Material: YReTe2
Method: DFT, PBE
State: optimized geometry

Structure (extended XYZ):
```
4
Lattice="-1.178 3.244 -0.516 -2.755 -1.786 -1.184 -2.934 0.018 6.803" Properties=species:S:1:pos:R:3 pbc="T T T"
Re -4.167 0.742 4.253
Te -2.850 0.017 6.609
Te -1.551 0.009 3.596
Y -2.700 0.734 0.851
```

Computed properties:
Offset from the most stable computed form (meV per atom): 350
Calculated volume (Å³/atom): 22.27



Record 2
Material: Y2ReTe
Method: DFT, PBE
State: optimized geometry

Structure (extended XYZ):
```
8
Lattice="6.511 0.000 0.000 0.000 6.511 0.000 3.255 3.255 6.752" Properties=species:S:1:pos:R:3 pbc="T T T"
Y 5.219 1.628 1.688
Y 1.292 4.883 1.688
Y 4.883 4.547 5.064
Y 8.138 8.474 5.064
Re 0.000 0.000 0.000
Re 6.511 3.255 3.376
Te 3.255 3.255 0.000
Te 3.255 6.511 3.376
```

Computed properties:
E (eV per cell): -52.911
Calculated volume (Å³/atom): 35.78



Record 3
Material: Y2ReTe
Method: DFT, PBE
State: optimized geometry

Structure (extended XYZ):
```
4
Lattice="-2.348 -0.837 4.654 0.808 -5.183 0.597 3.674 3.644 -1.046" Properties=species:S:1:pos:R:3 pbc="T T T"
Re 1.856 -2.274 1.088
Te 0.278 -0.101 3.117
Y 0.000 0.000 0.000
Y -0.770 -3.010 2.625
```

Computed properties:
E (eV per cell): -28.763
Calculated volume (Å³/atom): 23.04



Record 4
Material: YRe3Te
Method: DFT, PBE
State: optimized geometry

Structure (extended XYZ):
```
5
Lattice="4.895 0.000 0.000 0.000 4.895 0.000 0.000 0.000 4.895" Properties=species:S:1:pos:R:3 pbc="T T T"
Y 0.000 0.000 0.000
Re 0.000 2.448 0.000
Re 0.000 0.000 2.448
Re 2.448 0.000 0.000
Te 2.448 2.448 2.448
```

Computed properties:
Offset from the most stable computed form (meV per atom): 1300
Calculated volume (Å³/atom): 23.46



Record 5
Material: YReTe2
Method: DFT, PBE
State: optimized geometry

Structure (extended XYZ):
```
4
Lattice="3.381 0.000 0.000 0.000 3.381 0.000 0.000 0.000 9.026" Properties=species:S:1:pos:R:3 pbc="T T T"
Re 1.691 1.691 6.861
Te 0.000 0.000 8.209
Te 1.691 1.691 2.652
Y 0.000 0.000 4.844
```

Computed properties:
Offset from the most stable computed form (meV per atom): 23
Calculated volume (Å³/atom): 25.80



Record 6
Material: Y2ReTe
Method: DFT, PBE
State: optimized geometry

Structure (extended XYZ):
```
4
Lattice="5.952 -0.007 0.000 2.882 5.208 0.000 -4.417 -2.600 3.026" Properties=species:S:1:pos:R:3 pbc="T T T"
Re 4.417 2.600 0.000
Te 2.976 -0.004 1.513
Y 0.000 0.000 0.000
Y 1.441 2.604 1.513
```

Computed properties:
E (eV per cell): -28.577
Calculated volume (Å³/atom): 23.46



Record 7
Material: Y2ReTe
Method: DFT, PBE
State: optimized geometry

Structure (extended XYZ):
```
4
Lattice="-0.311 -2.356 -3.109 0.114 -3.499 2.640 -6.203 0.170 0.492" Properties=species:S:1:pos:R:3 pbc="T T T"
Re -2.465 0.067 0.196
Te -5.155 -2.789 0.167
Y -5.988 0.164 0.475
Y -2.096 -2.873 -0.076
```

Computed properties:
E (eV per cell): -28.665
Calculated volume (Å³/atom): 26.70



Record 8
Material: YReTe2
Method: DFT, PBE
State: optimized geometry

Structure (extended XYZ):
```
4
Lattice="-1.979 -3.766 0.868 1.746 -3.735 -1.360 2.921 -2.919 4.844" Properties=species:S:1:pos:R:3 pbc="T T T"
Re 0.672 -2.605 1.088
Te -0.073 -7.522 -0.226
Te 1.184 -5.188 1.908
Y 2.016 -7.815 3.263
```

Computed properties:
Offset from the most stable computed form (meV per atom): 48
Calculated volume (Å³/atom): 23.88



Record 9
Material: YReTe2
Method: DFT, PBE
State: optimized geometry

Structure (extended XYZ):
```
4
Lattice="0.000 3.542 3.542 3.542 0.000 3.542 3.542 3.542 0.000" Properties=species:S:1:pos:R:3 pbc="T T T"
Y 0.000 0.000 0.000
Re 3.542 3.542 3.542
Te 1.771 1.771 1.771
Te 5.314 5.314 5.314
```

Computed properties:
Offset from the most stable computed form (meV per atom): 289
Calculated volume (Å³/atom): 22.23



Record 10
Material: YReTe
Method: DFT, PBE
State: optimized geometry

Structure (extended XYZ):
```
3
Lattice="-1.253 0.179 3.272 -0.125 -3.030 -1.763 5.939 -1.620 2.363" Properties=species:S:1:pos:R:3 pbc="T T T"
Re 0.084 -0.023 0.033
Te 0.861 -1.365 2.285
Y 3.616 -3.084 1.553
```

Computed properties:
Offset from the most stable computed form (meV per atom): 345
Calculated volume (Å³/atom): 23.43



Record 11
Material: YReTe2
Method: DFT, PBE
State: optimized geometry

Structure (extended XYZ):
```
4
Lattice="4.347 0.000 0.000 0.000 3.930 0.001 0.000 0.922 5.696" Properties=species:S:1:pos:R:3 pbc="T T T"
Re 2.173 3.639 4.273
Te 0.000 4.531 5.568
Te 0.000 2.748 2.978
Y 2.173 1.213 1.424
```

Computed properties:
Offset from the most stable computed form (meV per atom): 281
Calculated volume (Å³/atom): 24.33



Record 12
Material: Y2ReTe
Method: DFT, PBE
State: optimized geometry

Structure (extended XYZ):
```
4
Lattice="4.524 0.000 0.000 0.000 3.927 0.012 0.000 1.943 5.503" Properties=species:S:1:pos:R:3 pbc="T T T"
Re 0.000 3.668 2.558
Te 2.262 3.667 4.271
Y 0.000 5.629 5.063
Y 2.262 1.710 1.894
```

Computed properties:
E (eV per cell): -29.779
Calculated volume (Å³/atom): 24.41



Record 13
Material: Y2ReTe
Method: DFT, PBE
State: optimized geometry

Structure (extended XYZ):
```
4
Lattice="-9.619 1.877 -0.455 -9.241 -0.156 -3.293 -9.676 -1.619 -0.131" Properties=species:S:1:pos:R:3 pbc="T T T"
Re -14.044 0.050 -1.909
Te -21.813 0.077 -2.965
Y -0.212 0.001 -0.029
Y -6.735 0.024 -0.916
```

Computed properties:
E (eV per cell): -27.388
Calculated volume (Å³/atom): 25.63



Record 14
Material: Y3ReTe
Method: DFT, PBE
State: optimized geometry

Structure (extended XYZ):
```
5
Lattice="5.397 0.000 0.000 0.000 5.397 0.000 0.000 0.000 5.397" Properties=species:S:1:pos:R:3 pbc="T T T"
Y 0.000 2.699 0.000
Y 0.000 0.000 2.699
Y 2.699 0.000 0.000
Re 0.000 0.000 0.000
Te 2.699 2.699 2.699
```

Computed properties:
Offset from the most stable computed form (meV per atom): 0
Calculated volume (Å³/atom): 31.45



Record 15
Material: YReTe
Method: DFT, PBE
State: optimized geometry

Structure (extended XYZ):
```
3
Lattice="4.614 0.000 0.000 -2.307 3.996 0.000 0.000 0.000 3.600" Properties=species:S:1:pos:R:3 pbc="T T T"
Re 0.000 0.000 0.599
Te 0.000 2.664 0.600
Y 2.307 1.332 2.401
```

Computed properties:
Offset from the most stable computed form (meV per atom): 0
Calculated volume (Å³/atom): 22.12



Values for total moment, μB/f.u., ordered as above
0.00 1.00 0.00 1.82 0.00 0.77 0.69 0.00 1.03 0.00 0.00 0.00 0.27 0.00 0.00